Record 1
This record from the Open Quantum Materials Database describes crystalline KHf4HgC2 at its relaxed geometry. The functional is PBE.

Cell: 3.314 3.314 16.832 Å, 90.00 90.00 120.00°
Atoms (fractional coordinates):
Hf (0.333, 0.667, 0.853)
Hf (0.000, 0.000, 0.707)
Hf (0.000, 0.000, 0.293)
Hf (0.333, 0.667, 0.147)
C (0.667, 0.333, 0.780)
C (0.667, 0.333, 0.220)
Hg (0.000, 0.000, 0.000)
K (0.333, 0.667, 0.500)

Output
Its total energy is -62.55 eV/cell. Its space group is P-6m2 (187).

=====

Record 2
This record from the Open Quantum Materials Database describes crystalline Hf4Hg2CN at its relaxed geometry. The functional is PBE.

Cell: 3.294 3.294 14.568 Å, 90.00 90.00 120.00°
Atoms (fractional coordinates):
C (0.000, 0.000, 0.000)
Hf (0.333, 0.667, 0.085)
Hf (0.667, 0.333, 0.915)
Hf (0.333, 0.667, 0.418)
Hf (0.667, 0.333, 0.582)
Hg (0.333, 0.667, 0.748)
Hg (0.667, 0.333, 0.252)
N (0.000, 0.000, 0.500)

Output
Its total energy is -64.43 eV/cell. Its space group is P-3m1 (164).

=====

Record 3
This record from the Open Quantum Materials Database describes crystalline HfScHgC at its relaxed geometry. The functional is PBE.

Cell: 3.320 3.320 14.964 Å, 90.00 90.00 120.00°
Atoms (fractional coordinates):
Sc (0.667, 0.333, 0.582)
Sc (0.333, 0.667, 0.418)
Hf (0.333, 0.667, 0.083)
Hf (0.667, 0.333, 0.917)
Hg (0.667, 0.333, 0.248)
Hg (0.333, 0.667, 0.752)
C (0.000, 0.000, 0.500)
C (0.000, 0.000, 0.000)

Output
Its total energy is -56.03 eV/cell. The value obtained for the excess energy over the best structure of this formula in the dataset is 5.5 kJ/mol of formula units. Its space group is P-3m1 (164).

=====

Record 4
This record from the Open Quantum Materials Database describes crystalline HfScHgC at its relaxed geometry. The functional is PBE.

Cell: 3.329 3.329 14.824 Å, 90.00 90.00 120.00°
Atoms (fractional coordinates):
C (0.000, 0.000, 0.254)
C (0.000, 0.000, 0.746)
Sc (0.667, 0.333, 0.165)
Sc (0.667, 0.333, 0.835)
Hf (0.333, 0.667, 0.667)
Hf (0.333, 0.667, 0.333)
Hg (0.333, 0.667, 0.000)
Hg (0.667, 0.333, 0.500)

Output
Its total energy is -56.14 eV/cell. The value obtained for the excess energy over the best structure of this formula in the dataset is 0.0 kJ/mol of formula units. Its space group is P-6m2 (187).

=====

Record 5
This record from the Open Quantum Materials Database describes crystalline HfScHgC at its relaxed geometry. The functional is PBE.

Cell: 3.327 3.327 14.855 Å, 90.00 90.00 120.00°
Atoms (fractional coordinates):
Hg (0.667, 0.333, 0.249)
Hg (0.333, 0.667, 0.749)
Sc (0.667, 0.333, 0.915)
Sc (0.333, 0.667, 0.415)
Hf (0.333, 0.667, 0.082)
Hf (0.667, 0.333, 0.582)
C (0.000, 0.000, 0.504)
C (0.000, 0.000, 0.004)

Output
Its total energy is -56.08 eV/cell. The value obtained for the excess energy over the best structure of this formula in the dataset is 2.9 kJ/mol of formula units. Its space group is P6_3mc (186).

=====

Record 6
This record from the Open Quantum Materials Database describes crystalline HfSc3Hg2C2 at its relaxed geometry. The functional is PBE.

Cell: 3.335 3.335 14.967 Å, 90.00 90.00 120.00°
Atoms (fractional coordinates):
Sc (0.667, 0.333, 0.916)
Sc (0.333, 0.667, 0.417)
Sc (0.667, 0.333, 0.581)
C (0.000, 0.000, 0.005)
C (0.000, 0.000, 0.500)
Hg (0.333, 0.667, 0.751)
Hg (0.667, 0.333, 0.248)
Hf (0.333, 0.667, 0.082)

Output
Its total energy is -52.20 eV/cell. Its space group is P3m1 (156).

=====

Record 7
This record from the Open Quantum Materials Database describes crystalline Hf4HgC2Se at its relaxed geometry. The functional is PBE.

Cell: 3.373 3.373 13.594 Å, 90.00 90.00 120.00°
Atoms (fractional coordinates):
Se (0.667, 0.333, 0.500)
C (0.000, 0.000, 0.733)
C (0.000, 0.000, 0.267)
Hf (0.333, 0.667, 0.357)
Hf (0.333, 0.667, 0.643)
Hf (0.667, 0.333, 0.178)
Hf (0.667, 0.333, 0.822)
Hg (0.333, 0.667, 0.000)

Output
Its total energy is -69.20 eV/cell. Its space group is P-6m2 (187).

=====

Record 8
This record from the Open Quantum Materials Database describes crystalline Hf4SnHgC2 at its relaxed geometry. The functional is PBE.

Cell: 3.325 3.325 14.618 Å, 90.00 90.00 120.00°
Atoms (fractional coordinates):
Sn (0.333, 0.667, 0.500)
C (0.667, 0.333, 0.750)
C (0.667, 0.333, 0.250)
Hf (0.333, 0.667, 0.166)
Hf (0.000, 0.000, 0.666)
Hf (0.000, 0.000, 0.334)
Hf (0.333, 0.667, 0.834)
Hg (0.000, 0.000, 0.000)

Output
Its total energy is -68.22 eV/cell. Its space group is P-6m2 (187).